The following is a DFT calculation (PBE with a Hubbard U) of a relaxed structure of VAs2O6.

a b c (Å): 5.068 5.068 5.595
angles (deg): 63.07 63.07 60.00
Fractional coordinates of all 9 atoms:
V  0.314  0.314  0.058
As  0.821  0.821  0.538
As  0.514  0.514  0.457
O  0.688  0.468  0.719
O  0.124  0.688  0.719
O  0.468  0.124  0.719
O  0.269  0.572  0.264
O  0.895  0.269  0.264
O  0.572  0.895  0.264

Relative energy among the computed polymorphs ... 52 meV per atom
Symmetry ... R3, No. 146